Record 1
La2CuS3 | PBE | optimized geometry

Unit cell a=3.931 b=4.356 c=15.877 alpha=90.00 beta=90.00 gamma=90.00
Space group Immm (No. 71)
One atom of each set of equivalent atoms:
La 0.000 0.000 0.140 [4 per cell]
Cu 0.000 0.000 0.500 [2 per cell]
S 0.000 0.000 0.325 [4 per cell]
S 0.000 0.500 0.500 [2 per cell]

Record 2
La2CuS | PBE | optimized geometry

Unit cell a=7.524 b=7.524 c=8.134 alpha=90.00 beta=90.00 gamma=90.00
Space group I-42d (No. 122)
One atom of each set of equivalent atoms:
La 0.249 0.250 0.125 [8 per cell]
Cu 0.000 0.000 0.500 [4 per cell]
S 0.000 0.000 0.000 [4 per cell]

Record 3
LaCuS2 | PBE | optimized geometry

Unit cell a=4.4383 b=4.4383 c=20.9539 alpha=90.00 beta=90.00 gamma=120.00
Space group R-3m (No. 166, hexagonal axes)
One atom of each set of equivalent atoms:
La 0.0000 0.0000 0.0000 [3 per cell]
Cu 0.0000 0.0000 0.5000 [3 per cell]
S 0.0000 0.0000 0.3985 [6 per cell]

Asked for ΔE_f (raw) across the records above, the calculation gives -1.6900 -0.7624 -1.3656 eV/atom in order.
Asked for E_tot across the records above, the calculation gives -6.079 -5.282 -5.685 eV per atom in order.
Asked for calculated volume across the records above, the calculation gives 271.87 460.46 357.46 Å³ per cell in order.